# 1
# La12Nd7Er

An optimized crystal structure of La12Nd7Er (PBE, Alexandria).

a = 6.4570 Å, b = 11.6208 Å, c = 11.6208 Å
α = 116.65°, β = 100.67°, γ = 100.67°
Positions (direct):
La  0.0923  0.5927  0.1852
La  0.0929  0.1852  0.5925
La  0.5704  0.6445  0.0001
La  0.4297  0.0001  0.3556
La  0.5005  0.4075  0.5927
La  0.0742  0.6444  0.6445
La  0.9258  0.3556  0.3555
La  0.4995  0.5925  0.4073
La  0.5703  0.9999  0.6444
La  0.4296  0.3555  0.9999
La  0.9071  0.8148  0.4075
La  0.9077  0.4073  0.8148
Nd  0.1159  0.7480  0.0000
Nd  0.8841  0.0000  0.2520
Nd  0.6321  0.7480  0.7480
Nd  0.5000  0.0000  0.0000
Nd  0.3679  0.2520  0.2520
Nd  0.1159  0.0000  0.7480
Nd  0.8841  0.2520  0.0000
Er  0.0000  0.0000  0.0000

* total energy: -4.683 eV/atom
* space group: R-3m, No. 166

=====

# 2
# La9Nd11Er4

An optimized crystal structure of La9Nd11Er4 (PBE, Alexandria).

a = 3.7207 Å, b = 16.1018 Å, c = 16.1018 Å
α = 117.90°, β = 90.00°, γ = 90.00°
Site moments in Bohr magnetons follow the coordinates.
Positions (direct):
La  0.5000  0.6150  0.1717  0.00
La  0.5000  0.3850  0.8283  0.00
La  0.5000  0.1717  0.6150  0.00
La  0.5000  0.8283  0.3850  0.00
La  0.5000  0.7952  0.9690  0.00
La  0.5000  0.2048  0.0310  0.00
La  0.5000  0.9690  0.7952  0.00
La  0.5000  0.0310  0.2048  0.00
La  0.5000  0.5000  0.5000  -0.11
Nd  0.0000  0.5992  0.9641  0.00
Nd  0.0000  0.4008  0.0359  0.00
Nd  0.0000  0.9641  0.5992  0.00
Nd  0.0000  0.0359  0.4008  0.00
Nd  0.0000  0.6223  0.3777  0.00
Nd  0.0000  0.3777  0.6223  0.00
Nd  0.0000  0.8214  0.1786  0.00
Nd  0.0000  0.1786  0.8214  0.00
Nd  0.0000  0.0000  0.0000  0.00
Nd  0.0000  0.7425  0.7425  0.00
Nd  0.0000  0.2575  0.2575  0.00
Er  0.5000  0.5738  0.7661  0.00
Er  0.5000  0.4262  0.2339  0.00
Er  0.5000  0.7661  0.5738  0.00
Er  0.5000  0.2339  0.4262  0.00

* total energy: -4.744 eV/atom
* space group: Cmmm, No. 65

=====

# 3
# La2Nd5Er4

An optimized crystal structure of La2Nd5Er4 (PBE, Alexandria).

a = 3.5169 Å, b = 7.8345 Å, c = 14.8148 Å
α = 105.33°, β = 96.82°, γ = 90.00°
Positions (direct):
La  0.1024  0.1024  0.2049
La  0.8976  0.8976  0.7951
Nd  0.8043  0.0668  0.6085
Nd  0.8043  0.5417  0.6085
Nd  0.1957  0.4583  0.3915
Nd  0.1957  0.9332  0.3915
Nd  0.5000  0.0000  0.0000
Er  0.0000  0.3217  0.0000
Er  0.5996  0.5996  0.1992
Er  0.0000  0.6783  0.0000
Er  0.4004  0.4004  0.8008

* total energy: -4.376 eV/atom
* space group: Immm, No. 71

=====

# 4
# La8NdEr3

An optimized crystal structure of La8NdEr3 (PBE, Alexandria).

a = 9.2132 Å, b = 9.2143 Å, c = 9.2195 Å
α = 78.60°, β = 113.41°, γ = 143.26°
Positions (direct):
La  0.5894  0.3773  0.9700
La  0.2527  0.3754  0.6269
La  0.5912  0.6213  0.2122
La  0.2531  0.6252  0.8778
La  0.2480  0.1199  0.3651
La  0.9178  0.2520  0.1689
La  0.2466  0.8805  0.1297
La  0.9185  0.7487  0.6669
Nd  0.9004  0.9997  0.9006
Er  0.5768  0.8780  0.4547
Er  0.5761  0.1217  0.6979
Er  0.9293  0.5002  0.4293

* total energy: -4.773 eV/atom
* space group: P1, No. 1

=====

# 5
# La2Nd3Er4

An optimized crystal structure of La2Nd3Er4 (PBE, Alexandria).

a = 6.2949 Å, b = 9.5934 Å, c = 6.2414 Å
α = 96.03°, β = 99.71°, γ = 123.23°
Positions (direct):
La  0.6645  0.3324  0.3318
La  0.3355  0.6676  0.6682
Nd  0.8894  0.7782  0.4418
Nd  0.1106  0.2218  0.5582
Nd  0.0000  0.0000  0.0000
Er  0.7803  0.5539  0.8914
Er  0.2197  0.4461  0.1086
Er  0.4406  0.8883  0.2225
Er  0.5594  0.1117  0.7775

* total energy: -4.687 eV/atom
* space group: P-1, No. 2

=====

# 6
# La5Nd2Er3

An optimized crystal structure of La5Nd2Er3 (PBE, Alexandria).

a = 10.1982 Å, b = 10.1958 Å, c = 11.3716 Å
α = 129.34°, β = 129.35°, γ = 65.54°
Positions (direct):
La  0.2751  0.5251  0.0502
La  0.7249  0.4749  0.9498
La  0.0231  0.7731  0.5462
La  0.5177  0.2677  0.5355
La  0.9769  0.2269  0.4538
La  0.4823  0.7323  0.4645
La  0.8811  0.6277  0.7597
La  0.1189  0.3723  0.2403
La  0.3786  0.1320  0.7597
La  0.6214  0.8680  0.2403
Nd  0.7852  0.0341  0.7583
Nd  0.2148  0.9659  0.2417
Nd  0.4731  0.7242  0.7583
Nd  0.5269  0.2758  0.2417
Er  0.2302  0.9802  0.9604
Er  0.7698  0.0198  0.0396
Er  0.7241  0.4666  0.2471
Er  0.2759  0.5334  0.7529
Er  0.0229  0.7805  0.2471
Er  0.9771  0.2195  0.7529

* total energy: -4.626 eV/atom
* space group: C2/c, No. 15

=====

# 7
# La8Nd4Er

An optimized crystal structure of La8Nd4Er (PBE, Alexandria).

a = 11.9163 Å, b = 11.9163 Å, c = 7.9588 Å
α = 90.00°, β = 138.47°, γ = 120.00°
Positions (direct):
La  0.5255  0.7628  0.2883
La  0.4745  0.2372  0.7117
La  0.3417  0.1709  0.0134
La  0.1574  0.3283  0.9866
La  0.6583  0.8291  0.9866
La  0.1574  0.8291  0.9866
La  0.8426  0.1709  0.0134
La  0.8426  0.6717  0.0134
Nd  0.0000  0.0000  0.0000
Nd  0.0000  0.5000  0.0000
Nd  0.5000  0.5000  0.0000
Nd  0.5000  0.0000  0.0000
Er  0.0000  0.5000  0.5000

* total energy: -4.496 eV/atom
* space group: R-3m, No. 166

=====

# 8
# La6Nd5Er2

An optimized crystal structure of La6Nd5Er2 (PBE, Alexandria).

a = 3.6063 Å, b = 11.2898 Å, c = 23.0929 Å
α = 90.00°, β = 90.00°, γ = 90.00°
Positions (direct):
La  0.0000  0.1343  0.3832
La  0.0000  0.8657  0.6168
La  0.0000  0.6343  0.1168
La  0.0000  0.3657  0.8832
La  0.5000  0.3349  0.1364
La  0.5000  0.6651  0.8636
La  0.5000  0.8349  0.3636
La  0.5000  0.1651  0.6364
La  0.0000  0.5314  0.3888
La  0.0000  0.4686  0.6112
La  0.0000  0.0314  0.1112
La  0.0000  0.9686  0.8888
Nd  0.5000  0.3331  0.4919
Nd  0.5000  0.6669  0.5081
Nd  0.5000  0.8331  0.0081
Nd  0.5000  0.1669  0.9919
Nd  0.5000  0.5862  0.2530
Nd  0.5000  0.4138  0.7470
Nd  0.5000  0.0862  0.2470
Nd  0.5000  0.9138  0.7530
Nd  0.5000  0.5000  0.0000
Nd  0.5000  0.0000  0.5000
Er  0.0000  0.3353  0.2735
Er  0.0000  0.6647  0.7265
Er  0.0000  0.8353  0.2265
Er  0.0000  0.1647  0.7735

* total energy: -4.676 eV/atom
* space group: Pbam, No. 55

=====

# 9
# La16Nd7Er6

An optimized crystal structure of La16Nd7Er6 (PBE, Alexandria).

a = 11.5284 Å, b = 11.5284 Å, c = 11.5284 Å
α = 60.00°, β = 60.00°, γ = 60.00°
Positions (direct):
La  0.8750  0.8750  0.3749
La  0.8750  0.8750  0.8750
La  0.8750  0.3749  0.8750
La  0.3749  0.8750  0.8750
La  0.1250  0.1250  0.1250
La  0.1250  0.1250  0.6251
La  0.1250  0.6251  0.1250
La  0.6251  0.1250  0.1250
La  0.6508  0.6508  0.0477
La  0.6508  0.6508  0.6508
La  0.6508  0.0477  0.6508
La  0.0477  0.6508  0.6508
La  0.3492  0.3492  0.3492
La  0.3492  0.3492  0.9523
La  0.3492  0.9523  0.3492
La  0.9523  0.3492  0.3492
Nd  0.0000  0.0000  0.0000
Nd  0.5000  0.0000  0.5000
Nd  0.0000  0.5000  0.0000
Nd  0.0000  0.5000  0.5000
Nd  0.5000  0.0000  0.0000
Nd  0.0000  0.0000  0.5000
Nd  0.5000  0.5000  0.0000
Er  0.2611  0.7389  0.2611
Er  0.7389  0.2611  0.7389
Er  0.7389  0.2611  0.2611
Er  0.2611  0.7389  0.7389
Er  0.7389  0.7389  0.2611
Er  0.2611  0.2611  0.7389

* total energy: -4.608 eV/atom
* space group: Fm-3m, No. 225

=====

# 10
# LaNd4Er5

An optimized crystal structure of LaNd4Er5 (PBE, Alexandria).

a = 3.6067 Å, b = 7.1784 Å, c = 13.9710 Å
α = 97.37°, β = 112.80°, γ = 90.00°
Positions (direct):
La  0.5000  0.0000  0.0000
Nd  0.3083  0.7987  0.2051
Nd  0.6931  0.6961  0.7950
Nd  0.6917  0.2013  0.7949
Nd  0.3069  0.3039  0.2050
Er  0.1076  0.6013  0.4052
Er  0.1063  0.1007  0.4040
Er  0.8937  0.8993  0.5960
Er  0.5000  0.5000  0.0000
Er  0.8924  0.3987  0.5948

* total energy: -4.661 eV/atom
* space group: C2/m, No. 12

=====

# 11
# La4NdEr5

An optimized crystal structure of La4NdEr5 (PBE, Alexandria).

a = 6.1220 Å, b = 8.1426 Å, c = 8.1426 Å
α = 81.88°, β = 67.92°, γ = 67.92°
Positions (direct):
La  0.4763  0.3243  0.6753
La  0.8006  0.6753  0.6757
La  0.1515  0.3247  0.3243
La  0.4759  0.6757  0.3247
Nd  0.2001  0.0000  0.0000
Er  0.7428  0.3787  0.0003
Er  0.1215  0.0003  0.6213
Er  0.7431  0.9997  0.3787
Er  0.1218  0.6213  0.9997
Er  0.6768  0.0000  0.0000

* total energy: -4.496 eV/atom
* space group: I4mm, No. 107

=====

# 12
# LaNd12Er7

An optimized crystal structure of LaNd12Er7 (PBE, Alexandria).

a = 9.4501 Å, b = 9.4501 Å, c = 9.4501 Å
α = 107.92°, β = 107.92°, γ = 107.92°
Positions (direct):
La  0.0000  0.0000  0.0000
Nd  0.7799  0.3296  0.6242
Nd  0.6704  0.3758  0.2201
Nd  0.4090  0.0525  0.2967
Nd  0.9475  0.7033  0.5910
Nd  0.3758  0.2201  0.6704
Nd  0.7033  0.5910  0.9475
Nd  0.2967  0.4090  0.0525
Nd  0.6242  0.7799  0.3296
Nd  0.0525  0.2967  0.4090
Nd  0.5910  0.9475  0.7033
Nd  0.3296  0.6242  0.7799
Nd  0.2201  0.6704  0.3758
Er  0.1055  0.6794  0.9920
Er  0.3206  0.0080  0.8945
Er  0.0080  0.8945  0.3206
Er  0.5000  0.5000  0.5000
Er  0.9920  0.1055  0.6794
Er  0.6794  0.9920  0.1055
Er  0.8945  0.3206  0.0080

* total energy: -4.555 eV/atom
* space group: R-3, No. 148

=====

# 13
# La4Nd5Er2

An optimized crystal structure of La4Nd5Er2 (PBE, Alexandria).

a = 3.6035 Å, b = 11.9225 Å, c = 9.1971 Å
α = 94.07°, β = 101.30°, γ = 90.00°
Positions (direct):
La  0.3580  0.2053  0.7161
La  0.9591  0.7367  0.9182
La  0.6420  0.7947  0.2839
La  0.0409  0.2633  0.0818
Nd  0.9035  0.4612  0.8071
Nd  0.0965  0.5388  0.1929
Nd  0.8209  0.9256  0.6417
Nd  0.5000  0.0000  0.0000
Nd  0.1791  0.0744  0.3583
Er  0.7168  0.3636  0.4337
Er  0.2832  0.6364  0.5663

* total energy: -4.712 eV/atom
* space group: C2/m, No. 12

=====

# 14
# La6Nd2Er

An optimized crystal structure of La6Nd2Er (PBE, Alexandria).

a = 3.6778 Å, b = 3.6778 Å, c = 27.7260 Å
α = 90.00°, β = 90.00°, γ = 120.00°
Positions (direct):
La  0.6667  0.3333  0.8958
La  0.3333  0.6667  0.4379
La  0.3333  0.6667  0.7820
La  0.3333  0.6667  0.2180
La  0.3333  0.6667  0.5621
La  0.6667  0.3333  0.1042
Nd  0.6667  0.3333  0.3297
Nd  0.6667  0.3333  0.6703
Er  0.3333  0.6667  0.0000

* total energy: -4.795 eV/atom
* space group: P-6m2, No. 187

=====

# 15
# LaNd8Er3

An optimized crystal structure of LaNd8Er3 (PBE, Alexandria).

a = 7.3702 Å, b = 8.6822 Å, c = 13.2895 Å
α = 100.09°, β = 133.83°, γ = 50.43°
Positions (direct):
La  0.1495  0.7510  0.4691
Nd  0.3254  0.7445  0.8078
Nd  0.8199  0.7514  0.8072
Nd  0.0118  0.2455  0.8594
Nd  0.3469  0.2467  0.5277
Nd  0.6589  0.7408  0.4738
Nd  0.9906  0.7465  0.1399
Nd  0.6762  0.2522  0.1922
Nd  0.1778  0.2470  0.1946
Er  0.5139  0.2453  0.8598
Er  0.8493  0.2472  0.5292
Er  0.4781  0.7516  0.1357

* total energy: -4.701 eV/atom
* space group: P1, No. 1

=====

# 16
# La3Nd2Er6

An optimized crystal structure of La3Nd2Er6 (PBE, Alexandria).

a = 6.1935 Å, b = 6.2063 Å, c = 11.6823 Å
α = 84.89°, β = 79.71°, γ = 60.07°
Positions (direct):
La  0.0000  0.0000  0.0000
La  0.3359  0.3282  0.0000
La  0.6641  0.6718  0.0000
Nd  0.1662  0.6676  0.5000
Nd  0.8338  0.3324  0.5000
Er  0.4176  0.6676  0.7475
Er  0.7496  0.0000  0.7480
Er  0.0852  0.3324  0.7475
Er  0.2504  0.0000  0.2520
Er  0.5824  0.3324  0.2525
Er  0.9148  0.6676  0.2525

* total energy: -4.511 eV/atom
* space group: C2/m, No. 12

=====

# 17
# La3NdEr2P6

An optimized crystal structure of La3NdEr2P6 (PBE, Alexandria).

a = 7.2005 Å, b = 7.2005 Å, c = 7.1995 Å
α = 99.60°, β = 99.60°, γ = 120.00°
Positions (direct):
La  0.1657  0.8343  0.5000
La  0.8343  0.1657  0.5000
La  0.5000  0.5000  0.5000
Nd  0.0000  0.0000  0.0000
Er  0.3330  0.6670  0.0000
Er  0.6670  0.3330  0.0000
P  0.9206  0.5808  0.7619
P  0.7391  0.7391  0.2371
P  0.0794  0.4192  0.2381
P  0.5808  0.9206  0.7619
P  0.2609  0.2609  0.7629
P  0.4192  0.0794  0.2381

* total energy: -6.657 eV/atom
* space group: C2/m, No. 12

=====

# 18
# LaNdEr2P4

An optimized crystal structure of LaNdEr2P4 (PBE, Alexandria).

a = 4.0984 Å, b = 7.0879 Å, c = 7.0964 Å
α = 70.53°, β = 90.00°, γ = 90.00°
Positions (direct):
La  0.5000  0.5000  0.0000
Nd  0.0000  0.5000  0.5000
Er  0.0000  0.0000  0.0000
Er  0.5000  0.0000  0.5000
P  0.0000  0.7649  0.7431
P  0.0000  0.2352  0.2569
P  0.5000  0.7634  0.2474
P  0.5000  0.2366  0.7526

* total energy: -6.626 eV/atom
* space group: P2/m, No. 10